Arrangement w

Here is crystalline TaFeS2N at its relaxed geometry from Alexandria. Energies are from PBE.

Cell lengths 4.5746, 4.5746, 3.3684 Å; angles 90.00, 90.00, 90.00 degrees
Last column: nearest neighbours and their distance in Å.
Atoms (fractional coordinates):
S (0.0000, 0.5000, 0.0000)  2 Fe 2.29
S (0.5000, 0.0000, 0.0000)  2 Fe 2.29
N (0.0000, 0.0000, 0.5000)  2 Fe 1.68
Fe (0.0000, 0.0000, 0.0000)  2 N 1.68
Ta (0.5000, 0.5000, 0.5000)  8 S 2.84

Values from the calculation:
crystal system	tetragonal
SG	No. 123

Arrangement x

Here is crystalline TaFeS2N at its relaxed geometry from Alexandria. Energies are from PBE.

Cell lengths 4.8943, 4.8943, 3.8717 Å; angles 90.00, 90.00, 90.00 degrees
Last column: nearest neighbours and their distance in Å.
Atoms (fractional coordinates):
S (0.0000, 0.5000, 0.0000)  2 Ta 2.45
S (0.5000, 0.0000, 0.0000)  2 Ta 2.45
N (0.0000, 0.0000, 0.5000)  2 Ta 1.94
Fe (0.5000, 0.5000, 0.5000)  8 S 3.12, 4 N 3.46
Ta (0.0000, 0.0000, 0.0000)  2 N 1.94

Values from the calculation:
crystal system	tetragonal
SG	No. 123

Which structure is the most stable? The one labeled arrangement x.

Arrangement w

Here is crystalline FeTe2SN at its relaxed geometry from Alexandria. Energies are from PBE.

Cell lengths 5.5230, 5.5230, 3.3081 Å; angles 90.00, 90.00, 90.00 degrees
Last column: nearest neighbours and their distance in Å.
Atoms (fractional coordinates):
S (0.0000, 0.0000, 0.0000)  2 N 1.65
Te (0.0000, 0.5000, 0.0000)  2 S 2.76
Te (0.5000, 0.0000, 0.0000)  2 S 2.76
Fe (0.5000, 0.5000, 0.5000)  8 Te 3.22, 2 Fe 3.31
N (0.0000, 0.0000, 0.5000)  2 S 1.65

Values from the calculation:
crystal system	tetragonal
SG	No. 123

Arrangement x

Here is crystalline FeTe2SN at its relaxed geometry from Alexandria. Energies are from PBE.

Cell lengths 5.2349, 5.2349, 3.4028 Å; angles 90.00, 90.00, 90.00 degrees
Last column: nearest neighbours and their distance in Å.
Atoms (fractional coordinates):
S (0.5000, 0.5000, 0.5000)  8 Te 3.12, 2 S 3.40
Te (0.0000, 0.5000, 0.0000)  2 Fe 2.62
Te (0.5000, 0.0000, 0.0000)  2 Fe 2.62
Fe (0.0000, 0.0000, 0.0000)  2 N 1.70
N (0.0000, 0.0000, 0.5000)  2 Fe 1.70

Values from the calculation:
crystal system	tetragonal
SG	No. 123

Which structure is the most stable? The one labeled arrangement x.

Arrangement w

Here is crystalline TlFeSN2 at its relaxed geometry from Alexandria. Energies are from PBE.

Cell lengths 4.1821, 4.1821, 5.6615 Å; angles 90.00, 90.00, 90.00 degrees
Last column: nearest neighbours and their distance in Å.
Atoms (fractional coordinates):
S (0.0000, 0.0000, 0.5000)  2 Tl 2.83, 4 Fe 2.96
Tl (0.0000, 0.0000, 0.0000)  4 N 2.09
Fe (0.5000, 0.5000, 0.5000)  4 S 2.96
N (0.0000, 0.5000, 0.0000)  2 Tl 2.09
N (0.5000, 0.0000, 0.0000)  2 Tl 2.09

Values from the calculation:
crystal system	tetragonal
SG	No. 123

Arrangement x

Here is crystalline TlFeSN2 at its relaxed geometry from Alexandria. Energies are from PBE.

Cell lengths 3.7114, 3.7114, 5.1124 Å; angles 90.00, 90.00, 90.00 degrees
Last column: nearest neighbours and their distance in Å.
Atoms (fractional coordinates):
S (0.0000, 0.0000, 0.5000)  2 Fe 2.56, 4 Tl 2.62
Tl (0.5000, 0.5000, 0.5000)  4 S 2.62
Fe (0.0000, 0.0000, 0.0000)  4 N 1.86
N (0.0000, 0.5000, 0.0000)  2 Fe 1.86
N (0.5000, 0.0000, 0.0000)  2 Fe 1.86

Values from the calculation:
crystal system	tetragonal
SG	No. 123

Which structure is the most stable? The one labeled arrangement x.

Arrangement w

Here is crystalline VFeSN2 at its relaxed geometry from Alexandria. Energies are from PBE.

Cell lengths 3.6928, 3.6928, 4.9903 Å; angles 90.00, 90.00, 90.00 degrees
Last column: nearest neighbours and their distance in Å.
Atoms (fractional coordinates):
S (0.0000, 0.0000, 0.5000)  2 V 2.50, 4 Fe 2.61
N (0.0000, 0.5000, 0.0000)  2 V 1.85
N (0.5000, 0.0000, 0.0000)  2 V 1.85
Fe (0.5000, 0.5000, 0.5000)  4 S 2.61
V (0.0000, 0.0000, 0.0000)  4 N 1.85

Values from the calculation:
crystal system	tetragonal
SG	No. 123

Arrangement x

Here is crystalline VFeSN2 at its relaxed geometry from Alexandria. Energies are from PBE.

Cell lengths 3.5677, 3.5677, 4.8426 Å; angles 90.00, 90.00, 90.00 degrees
Last column: nearest neighbours and their distance in Å.
Atoms (fractional coordinates):
S (0.0000, 0.0000, 0.5000)  2 Fe 2.42, 4 V 2.52
N (0.0000, 0.5000, 0.0000)  2 Fe 1.78
N (0.5000, 0.0000, 0.0000)  2 Fe 1.78
Fe (0.0000, 0.0000, 0.0000)  4 N 1.78
V (0.5000, 0.5000, 0.5000)  4 S 2.52

Values from the calculation:
crystal system	tetragonal
SG	No. 123

Which structure is the most stable? The one labeled arrangement w.

Arrangement w

Here is crystalline VFeS2N at its relaxed geometry from Alexandria. Energies are from PBE.

Cell lengths 4.7011, 4.7011, 3.5918 Å; angles 90.00, 90.00, 90.00 degrees
Last column: nearest neighbours and their distance in Å.
Atoms (fractional coordinates):
S (0.0000, 0.5000, 0.0000)  2 V 2.35
S (0.5000, 0.0000, 0.0000)  2 V 2.35
N (0.0000, 0.0000, 0.5000)  2 V 1.80
Fe (0.5000, 0.5000, 0.5000)  8 S 2.96
V (0.0000, 0.0000, 0.0000)  2 N 1.80

Values from the calculation:
crystal system	tetragonal
SG	No. 123

Arrangement x

Here is crystalline VFeS2N at its relaxed geometry from Alexandria. Energies are from PBE.

Cell lengths 4.5666, 4.5666, 3.3752 Å; angles 90.00, 90.00, 90.00 degrees
Last column: nearest neighbours and their distance in Å.
Atoms (fractional coordinates):
S (0.0000, 0.5000, 0.0000)  2 Fe 2.28
S (0.5000, 0.0000, 0.0000)  2 Fe 2.28
N (0.0000, 0.0000, 0.5000)  2 Fe 1.69
Fe (0.0000, 0.0000, 0.0000)  2 N 1.69
V (0.5000, 0.5000, 0.5000)  8 S 2.84

Values from the calculation:
crystal system	tetragonal
SG	No. 123

Which structure is the most stable? The one labeled arrangement w.

Arrangement w

Here is crystalline FeWSN2 at its relaxed geometry from Alexandria. Energies are from PBE.

Cell lengths 3.7904, 5.4757, 3.7904 Å; angles 90.00, 90.00, 90.00 degrees
Last column: nearest neighbours and their distance in Å.
Atoms (fractional coordinates):
S (0.5000, 0.5000, 0.5000)  4 Fe 2.68
Fe (0.0000, 0.5000, 0.0000)  4 S 2.68, 2 W 2.74
W (0.0000, 0.0000, 0.0000)  4 N 1.90
N (0.0000, 0.0000, 0.5000)  2 W 1.90
N (0.5000, 0.0000, 0.0000)  2 W 1.90

Values from the calculation:
crystal system	tetragonal
SG	No. 123

Arrangement x

Here is crystalline FeWSN2 at its relaxed geometry from Alexandria. Energies are from PBE.

Cell lengths 3.6263, 3.6263, 4.5211 Å; angles 90.00, 90.00, 90.00 degrees
Last column: nearest neighbours and their distance in Å.
Atoms (fractional coordinates):
S (0.0000, 0.0000, 0.5000)  2 Fe 2.26
Fe (0.0000, 0.0000, 0.0000)  4 N 1.81
W (0.5000, 0.5000, 0.5000)  4 S 2.56
N (0.0000, 0.5000, 0.0000)  2 Fe 1.81
N (0.5000, 0.0000, 0.0000)  2 Fe 1.81

Values from the calculation:
crystal system	tetragonal
SG	No. 123

Which structure is the most stable? The one labeled arrangement w.